# CaHgC2

Crystalline CaHgC2 at its relaxed geometry (PBE, the Alexandria database).

Cell lengths 4.4438, 4.4438, 7.7728 Å; angles 73.39, 73.39, 90.00 degrees
Element x y z (fractional)
Ca1 0.5000 0.5000 0.0000
Hg1 0.7500 0.2500 0.5000
C1 0.7194 0.1250 0.2500
Hg2 0.0000 0.0000 0.0000
Ca2 0.2500 0.7500 0.5000
C2 0.8750 0.9694 0.7500
C3 0.0306 0.6250 0.2500
C4 0.3750 0.2806 0.7500

Results
ΔE_f: 1646 meV/atom
Calculated density: 6.261 g cm⁻³
E: -3.54 eV/atom
SG: I-42d, No. 122

---

# CaHgC

Crystalline CaHgC at its relaxed geometry (PBE, the Alexandria database).

Cell lengths 3.7915, 3.7424, 10.2249 Å; angles 75.42, 66.60, 89.51 degrees
Element x y z (fractional)
C1 0.0186 0.5919 0.2141
C2 0.0390 0.7720 0.3021
Ca1 0.2006 0.2325 0.0230
Ca2 0.3777 0.1655 0.3981
Hg1 0.6111 0.4920 0.6356
Hg2 0.9158 0.8681 0.8203

Results
ΔE_f: -87 meV/atom
Calculated density: 6.546 g cm⁻³
E: -3.93 eV/atom
SG: P1, No. 1

---

# CaHgC

Crystalline CaHgC at its relaxed geometry (PBE, the Alexandria database).

Cell lengths 3.8125, 9.5771, 4.2618 Å; angles 91.39, 117.36, 100.99 degrees
Element x y z (fractional)
Hg1 0.2779 0.1353 0.3152
Ca1 0.6070 0.6927 0.4158
Hg2 0.4506 0.9326 0.8634
C1 0.9098 0.4960 0.2188
Ca2 0.1215 0.3752 0.7629
C2 0.8188 0.5719 0.9598

Results
ΔE_f: -162 meV/atom
Calculated density: 6.237 g cm⁻³
E: -4.00 eV/atom
SG: P-1, No. 2

---

# CaHgC

Crystalline CaHgC at its relaxed geometry (PBE, the Alexandria database).

Cell lengths 3.8052, 4.2415, 9.5911 Å; angles 81.81, 78.40, 63.27 degrees
Element x y z (fractional)
Hg1 0.3273 0.1189 0.9337
C1 0.8719 0.3938 0.5720
C2 0.7616 0.6892 0.4968
Hg2 0.9400 0.6993 0.1347
Ca1 0.5243 0.2872 0.3758
Ca2 0.1110 0.7935 0.6906

Results
ΔE_f: -144 meV/atom
Calculated density: 6.207 g cm⁻³
E: -3.99 eV/atom
SG: P1, No. 1

---

# LiCa2HgC

Crystalline LiCa2HgC at its relaxed geometry (PBE, the Alexandria database).

Cell lengths 5.1345, 4.4830, 5.1345 Å; angles 90.00, 90.00, 90.00 degrees
Element x y z (fractional)
Li1 0.5000 0.5000 0.5000
Hg1 0.0000 0.5000 0.0000
Ca1 0.0000 0.0000 0.5000
C1 0.0000 0.0000 0.0000
Ca2 0.5000 0.0000 0.0000

Results
ΔE_f: 269 meV/atom
Calculated density: 4.211 g cm⁻³
E: -2.82 eV/atom
SG: P4/mmm, No. 123

---

# Ca2MgHgC

Crystalline Ca2MgHgC at its relaxed geometry (PBE, the Alexandria database).

Cell lengths 5.1486, 5.1486, 4.3556 Å; angles 90.00, 90.00, 90.00 degrees
Element x y z (fractional)
Mg1 0.0000 0.0000 0.5000
C1 0.0000 0.0000 0.0000
Ca1 0.5000 0.0000 0.0000
Ca2 0.0000 0.5000 0.0000
Hg1 0.5000 0.5000 0.5000

Results
ΔE_f: -47 meV/atom
Calculated density: 4.560 g cm⁻³
E: -3.07 eV/atom
SG: P4/mmm, No. 123

---

# CaMnHg2C

Crystalline CaMnHg2C at its relaxed geometry (PBE, the Alexandria database).

Cell lengths 4.7008, 4.8156, 4.7008 Å; angles 90.00, 90.00, 90.00 degrees
Site moments in Bohr magnetons follow the coordinates.
Element x y z (fractional)
C1 0.0000 0.0000 0.0000  0.07
Ca1 0.0000 0.5000 0.0000  -0.02
Hg1 0.5000 0.0000 0.0000  -0.01
Hg2 0.0000 0.0000 0.5000  -0.01
Mn1 0.5000 0.5000 0.5000  4.18

Results
ΔE_f: 838 meV/atom
Calculated density: 7.930 g cm⁻³
E: -3.36 eV/atom
SG: P4/mmm, No. 123

---

# CaHg2CN

Crystalline CaHg2CN at its relaxed geometry (PBE, the Alexandria database).

Cell lengths 4.5567, 4.7625, 4.5567 Å; angles 90.00, 90.00, 90.00 degrees
Site moments in Bohr magnetons follow the coordinates.
Element x y z (fractional)
C1 0.5000 0.5000 0.5000  0.61
N1 0.0000 0.0000 0.0000  0.05
Hg1 0.5000 0.0000 0.0000  0.02
Hg2 0.0000 0.0000 0.5000  -0.03
Ca1 0.0000 0.5000 0.0000  0.00

Results
Calculated density: 7.847 g cm⁻³
E: -2.86 eV/atom
SG: P4/mmm, No. 123
Energy relative to the elements, uncorrected: 1167 meV per atom

---

# CaNb2HgC

Crystalline CaNb2HgC at its relaxed geometry (PBE, the Alexandria database).

Cell lengths 4.8967, 4.3520, 4.8967 Å; angles 90.00, 90.00, 90.00 degrees
Element x y z (fractional)
Nb1 0.0000 0.0000 0.5000
Ca1 0.0000 0.0000 0.0000
C1 0.0000 0.5000 0.0000
Nb2 0.5000 0.0000 0.0000
Hg1 0.5000 0.5000 0.5000

Results
ΔE_f: 2493 meV/atom
Calculated density: 6.978 g cm⁻³
E: -3.84 eV/atom
SG: P4/mmm, No. 123
Energy above the most stable polymorph in this dataset: 2.423 eV/atom

---

# CaNb2HgC

Crystalline CaNb2HgC at its relaxed geometry (PBE, the Alexandria database).

Cell lengths 4.3506, 4.9246, 4.3506 Å; angles 90.00, 90.00, 90.00 degrees
Element x y z (fractional)
C1 0.0000 0.0000 0.0000
Hg1 0.5000 0.5000 0.5000
Ca1 0.0000 0.5000 0.0000
Nb1 0.5000 0.0000 0.0000
Nb2 0.0000 0.0000 0.5000

Results
ΔE_f: 70 meV/atom
Calculated density: 7.812 g cm⁻³
E: -6.26 eV/atom
SG: P4/mmm, No. 123
Energy above the most stable polymorph in this dataset: 0.000 eV/atom

---

# Ca3HgC4O12

Crystalline Ca3HgC4O12 at its relaxed geometry (PBE, the Alexandria database).

Cell lengths 6.5714, 6.5714, 6.5714 Å; angles 102.02, 102.02, 102.02 degrees
Element x y z (fractional)
Ca1 0.5264 0.4736 0.0000
O1 0.3736 0.9733 0.1542
O2 0.1542 0.3736 0.9733
O3 0.8458 0.0267 0.6264
O4 0.0267 0.6264 0.8458
Hg1 0.0000 0.0000 0.0000
Ca2 0.0000 0.5264 0.4736
O5 0.5000 0.3731 0.6269
O6 0.5000 0.1006 0.8994
C1 0.9748 0.0252 0.5000
O7 0.3731 0.6269 0.5000
O8 0.9733 0.1542 0.3736
Ca3 0.4736 0.0000 0.5264
O9 0.1006 0.8994 0.5000
C2 0.5000 0.5000 0.5000
O10 0.8994 0.5000 0.1006
O11 0.6264 0.8458 0.0267
C3 0.5000 0.9748 0.0252
O12 0.6269 0.5000 0.3731
C4 0.0252 0.5000 0.9748

Results
Calculated density: 3.556 g cm⁻³
E: -7.05 eV/atom
SG: R32, No. 155
Energy relative to the elements, uncorrected: -1918 meV per atom

---

# CaHgC2O6

Crystalline CaHgC2O6 at its relaxed geometry (PBE, the Alexandria database).

Cell lengths 6.5117, 6.5117, 6.6047 Å; angles 100.14, 100.14, 102.64 degrees
Element x y z (fractional)
Ca1 0.5952 0.4048 0.2500
O1 0.4792 0.0348 0.2609
O2 0.9522 0.7901 0.8717
O3 0.7901 0.9522 0.3717
O4 0.2879 0.4703 0.3811
O5 0.0348 0.4792 0.7609
O6 0.0478 0.2099 0.1283
O7 0.2099 0.0478 0.6283
O8 0.5297 0.7121 0.1189
C1 0.1022 0.4009 0.2507
C2 0.4009 0.1022 0.7507
Hg1 0.8883 0.1117 0.7500
Ca2 0.4048 0.5952 0.7500
Hg2 0.1117 0.8883 0.2500
C3 0.5991 0.8978 0.2493
C4 0.8978 0.5991 0.7493
O9 0.4703 0.2879 0.8811
O10 0.7121 0.5297 0.6189
O11 0.9652 0.5208 0.2391
O12 0.5208 0.9652 0.7391

Results
Calculated density: 4.568 g cm⁻³
E: -6.63 eV/atom
SG: C2/c, No. 15
Energy relative to the elements, uncorrected: -1581 meV per atom

---

# CaHgPdC2

Crystalline CaHgPdC2 at its relaxed geometry (PBE, the Alexandria database).

Cell lengths 4.3380, 5.1686, 4.3380 Å; angles 90.00, 90.00, 90.00 degrees
Site moments in Bohr magnetons follow the coordinates.
Element x y z (fractional)
Ca1 0.5000 0.5000 0.5000  0.00
Hg1 0.0000 0.0000 0.0000  0.02
Pd1 0.0000 0.5000 0.0000  0.08
C1 0.0000 0.0000 0.5000  0.22
C2 0.5000 0.0000 0.0000  0.26

Results
ΔE_f: 1838 meV/atom
Calculated density: 6.336 g cm⁻³
E: -3.35 eV/atom
SG: P4/mmm, No. 123

---

# Ca2HgPtC

Crystalline Ca2HgPtC at its relaxed geometry (PBE, the Alexandria database).

Cell lengths 5.2297, 5.2297, 3.8933 Å; angles 90.00, 90.00, 90.00 degrees
Element x y z (fractional)
Hg1 0.5000 0.5000 0.5000
Ca1 0.0000 0.5000 0.0000
Ca2 0.5000 0.0000 0.0000
C1 0.0000 0.0000 0.0000
Pt1 0.0000 0.0000 0.5000

Results
ΔE_f: -434 meV/atom
Calculated density: 7.608 g cm⁻³
E: -4.35 eV/atom
SG: P4/mmm, No. 123

---

# Ca3Hg2Rh3C

Crystalline Ca3Hg2Rh3C at its relaxed geometry (PBE, the Alexandria database).

Cell lengths 3.3381, 7.7555, 7.7555 Å; angles 120.00, 90.00, 90.00 degrees
Element x y z (fractional)
Ca1 0.0000 0.3522 0.0000
Hg1 0.5000 0.3333 0.6667
C1 0.0000 0.0000 0.0000
Ca2 0.0000 0.0000 0.3522
Hg2 0.5000 0.6667 0.3333
Rh1 0.5000 0.7972 0.0000
Rh2 0.5000 0.2028 0.2028
Ca3 0.0000 0.6478 0.6478
Rh3 0.5000 0.0000 0.7972

Results
ΔE_f: -132 meV/atom
Calculated density: 8.042 g cm⁻³
E: -4.34 eV/atom
SG: P-62m, No. 189

---

# CaHgRh2C

Crystalline CaHgRh2C at its relaxed geometry (PBE, the Alexandria database).

Cell lengths 4.1104, 4.1104, 4.9001 Å; angles 90.00, 90.00, 90.00 degrees
Element x y z (fractional)
Rh1 0.0000 0.5000 0.0000
C1 0.0000 0.0000 0.0000
Ca1 0.0000 0.0000 0.5000
Rh2 0.5000 0.0000 0.0000
Hg1 0.5000 0.5000 0.5000

Results
ΔE_f: -49 meV/atom
Calculated density: 9.196 g cm⁻³
E: -5.29 eV/atom
SG: P4/mmm, No. 123

---

# CaHgRhC2

Crystalline CaHgRhC2 at its relaxed geometry (PBE, the Alexandria database).

Cell lengths 4.2279, 5.6376, 4.2279 Å; angles 90.00, 90.00, 90.00 degrees
Site moments in Bohr magnetons follow the coordinates.
Element x y z (fractional)
Ca1 0.0000 0.5000 0.0000  0.00
C1 0.5000 0.0000 0.0000  0.06
Hg1 0.0000 0.0000 0.0000  0.01
Rh1 0.5000 0.5000 0.5000  0.06
C2 0.0000 0.0000 0.5000  0.06

Results
ΔE_f: 2418 meV/atom
Calculated density: 6.057 g cm⁻³
E: -3.20 eV/atom
SG: P4/mmm, No. 123

---

# Ca2HgRuC

Crystalline Ca2HgRuC at its relaxed geometry (PBE, the Alexandria database).

Cell lengths 5.1688, 5.1688, 3.9004 Å; angles 90.00, 90.00, 90.00 degrees
Element x y z (fractional)
Hg1 0.5000 0.5000 0.5000
C1 0.0000 0.0000 0.0000
Ca1 0.0000 0.5000 0.0000
Ca2 0.5000 0.0000 0.0000
Ru1 0.0000 0.0000 0.5000

Results
ΔE_f: -159 meV/atom
Calculated density: 6.276 g cm⁻³
E: -4.72 eV/atom
SG: P4/mmm, No. 123

---

# CaSc2HgC

Crystalline CaSc2HgC at its relaxed geometry (PBE, the Alexandria database).

Cell lengths 4.5169, 4.5169, 5.1214 Å; angles 90.00, 90.00, 90.00 degrees
Element x y z (fractional)
Hg1 0.5000 0.5000 0.5000
Sc1 0.0000 0.5000 0.0000
Sc2 0.5000 0.0000 0.0000
Ca1 0.0000 0.0000 0.5000
C1 0.0000 0.0000 0.0000

Results
ΔE_f: -348 meV/atom
Calculated density: 5.444 g cm⁻³
E: -5.19 eV/atom
SG: P4/mmm, No. 123

---

# CaTcHgC2

Crystalline CaTcHgC2 at its relaxed geometry (PBE, the Alexandria database).

Cell lengths 4.3308, 5.5025, 4.3308 Å; angles 90.00, 90.00, 90.00 degrees
Site moments in Bohr magnetons follow the coordinates.
Element x y z (fractional)
Ca1 0.0000 0.5000 0.0000  -0.03
Hg1 0.0000 0.0000 0.0000  -0.04
C1 0.0000 0.0000 0.5000  -0.27
C2 0.5000 0.0000 0.0000  -0.29
Tc1 0.5000 0.5000 0.5000  2.70

Results
ΔE_f: 2824 meV/atom
Calculated density: 5.836 g cm⁻³
E: -3.40 eV/atom
SG: P4/mmm, No. 123